No. 1
## Ho12TlNi5 (PBE)

Data for an optimized crystal structure of Ho12TlNi5.

Unit cell a=8.2798 b=8.2798 c=8.2798 alpha=107.05 beta=111.43 gamma=109.96
Sites, in units of the cell vectors:
Ho 0.5255 0.8182 0.7073
Ho 0.4745 0.1818 0.2927
Ho 0.8892 0.1818 0.7073
Ho 0.1108 0.8182 0.2927
Ho 0.6948 0.6780 0.3728
Ho 0.3052 0.3220 0.6272
Ho 0.3052 0.6780 0.9832
Ho 0.6948 0.3220 0.0168
Ho 0.8091 0.5955 0.7864
Ho 0.1909 0.4045 0.2136
Ho 0.1909 0.9773 0.7864
Ho 0.8091 0.0227 0.2136
Tl 0.0000 0.5000 0.5000
Ni 0.6359 0.6359 0.0000
Ni 0.3641 0.3641 0.0000
Ni 0.5000 0.1235 0.6235
Ni 0.5000 0.8765 0.3765
Ni 0.0000 0.0000 0.0000

The space-group type is Immm, No. 71. The calculation puts the total energy at -92.321 eV for the cell shown. Its formation energy is -340 meV per atom.

No. 2
## HoTlNi (PBE)

Data for an optimized crystal structure of HoTlNi.

Unit cell a=3.3653 b=3.3653 c=6.0608 alpha=106.12 beta=106.12 gamma=90.00
Sites, in units of the cell vectors:
Ni 0.2844 0.2844 0.5688
Tl 0.6387 0.6387 0.2775
Ho 0.9269 0.9269 0.8538

The space-group type is I4mm, No. 107. The calculation puts the total energy at -13.240 eV for the cell shown. Its formation energy is -171 meV per atom.

No. 3
## Ho12TlNi6 (PBE)

Data for an optimized crystal structure of Ho12TlNi6.

Unit cell a=8.3618 b=8.3618 c=8.3618 alpha=109.47 beta=109.47 gamma=109.47
Sites, in units of the cell vectors:
Ho 0.3030 0.1154 0.8124
Ho 0.3030 0.4906 0.1876
Ho 0.6970 0.5094 0.8124
Ho 0.6970 0.8846 0.1876
Ho 0.1154 0.8124 0.3030
Ho 0.4906 0.1876 0.3030
Ho 0.5094 0.8124 0.6970
Ho 0.8846 0.1876 0.6970
Ho 0.8124 0.3030 0.1154
Ho 0.1876 0.3030 0.4906
Ho 0.8124 0.6970 0.5094
Ho 0.1876 0.6970 0.8846
Tl 0.0000 0.0000 0.0000
Ni 0.3766 0.5000 0.8766
Ni 0.6234 0.5000 0.1234
Ni 0.5000 0.8766 0.3766
Ni 0.5000 0.1234 0.6234
Ni 0.8766 0.3766 0.5000
Ni 0.1234 0.6234 0.5000

The space-group type is Im-3, No. 204. The calculation puts the total energy at -98.907 eV for the cell shown. Its formation energy is -364 meV per atom.

No. 4
## Ho5Tl2Ni (PBE)

Data for an optimized crystal structure of Ho5Tl2Ni.

Unit cell a=4.7442 b=7.2659 c=12.3246 alpha=90.00 beta=90.00 gamma=90.00
Sites, in units of the cell vectors:
Ho 0.0000 0.0000 0.5000
Ho 0.0000 0.5000 0.0000
Ho 0.0000 0.8767 0.2076
Ho 0.0000 0.1233 0.7924
Ho 0.0000 0.6233 0.7076
Ho 0.0000 0.3767 0.2924
Ho 0.5000 0.6781 0.4210
Ho 0.5000 0.3219 0.5790
Ho 0.5000 0.8219 0.9210
Ho 0.5000 0.1781 0.0790
Tl 0.5000 0.5990 0.1633
Tl 0.5000 0.4010 0.8367
Tl 0.5000 0.9010 0.6633
Tl 0.5000 0.0990 0.3367
Ni 0.0000 0.5000 0.5000
Ni 0.0000 0.0000 0.0000

The space-group type is Pbam, No. 55. The calculation puts the total energy at -71.489 eV for the cell shown. Its formation energy is -293 meV per atom.

No. 5
## HoTlNi (PBE)

Data for an optimized crystal structure of HoTlNi.

Unit cell a=4.5256 b=4.5176 c=8.0169 alpha=106.44 beta=90.00 gamma=120.06
Sites, in units of the cell vectors:
Ho 0.7462 0.4925 0.2394
Ho 0.2538 0.5075 0.7606
Tl 0.5000 0.0000 0.5000
Tl 0.0000 0.0000 0.0000
Ni 0.1328 0.2657 0.3990
Ni 0.8672 0.7343 0.6010

The space-group type is C2/m, No. 12. The calculation puts the total energy at -26.824 eV for the cell shown. Its formation energy is -229 meV per atom.

No. 6
## Ho5Tl4Ni (PBE)

Data for an optimized crystal structure of Ho5Tl4Ni.

Unit cell a=5.3272 b=7.7057 c=7.7057 alpha=83.14 beta=69.78 gamma=69.78
Sites, in units of the cell vectors:
Ho 0.8382 0.3543 0.9712
Ho 0.1925 0.9712 0.6457
Ho 0.8095 0.0288 0.3543
Ho 0.1637 0.6457 0.0288
Ho 0.5009 0.0000 0.0000
Tl 0.4923 0.3335 0.6841
Tl 0.8258 0.6841 0.6665
Tl 0.1765 0.3159 0.3335
Tl 0.5100 0.6665 0.3159
Ni 0.0008 0.0000 0.0000

The space-group type is I4/m, No. 87. The calculation puts the total energy at -40.052 eV for the cell shown. Its formation energy is -192 meV per atom.